Here is Ac3Pr4Pd4 after structural relaxation from Alexandria via LeMat-Bulk. Energies are from PBE.

Cell lengths 4.974, 8.016, 9.487 Å; angles 114.99, 105.20, 90.00 degrees
Fractional positions:
Pr: 0.673 0.456 0.345
Pd: 0.500 0.182 0.000
Ac: 0.896 0.896 0.791
Pr: 0.327 0.111 0.655
Pr: 0.673 0.889 0.345
Pd: 0.500 0.818 0.000
Ac: 0.000 0.500 0.000
Pd: 0.793 0.293 0.587
Pd: 0.207 0.707 0.413
Pr: 0.327 0.544 0.655
Ac: 0.104 0.104 0.209

Values from the calculation:
* final energy: -5.242 eV per atom
* formation energy from the elements: -0.50 eV per atom
* total magnetization: 0.00 μB/f.u.
* space-group type: No. 71